# NdRe2N5 PBE relaxed
data_NdRe2N5
_space_group_name_H-M_alt 'P 1'
_space_group_IT_number 1
_cell_length_a 5.734
_cell_length_b 5.734
_cell_length_c 6.789
_cell_angle_alpha 114.98
_cell_angle_beta 114.98
_cell_angle_gamma 90.00
loop_
_space_group_symop_operation_xyz
'x,y,z'
loop_
_atom_site_label
_atom_site_type_symbol
_atom_site_fract_x
_atom_site_fract_y
_atom_site_fract_z
N1 N 0.765 0.973 0.238
N2 N 0.500 0.500 0.000
N3 N 0.527 0.735 0.762
N4 N 0.000 0.000 0.000
Nd1 Nd 0.750 0.750 0.500
Re1 Re 0.654 0.154 0.000
Nd2 Nd 0.250 0.250 0.500
Re2 Re 0.846 0.654 0.000
N5 N 0.235 0.027 0.762
N6 N 0.735 0.235 0.762
N7 N 0.265 0.765 0.238
N8 N 0.473 0.265 0.238
N9 N 0.973 0.473 0.238
N10 N 0.027 0.527 0.762
Re3 Re 0.154 0.346 0.000
Re4 Re 0.346 0.846 0.000
# Uncorrected formation energy, eV per formula unit: -0.35
# Symmetry: I4/mcm (140)
# Total magnetic moment, μB/atom: 0.000